a) First-principles (PBE) data for a relaxed structure of TaCoPb2, as listed in Alexandria via LeMat-Bulk.

Calculated values
Volume in Å³ per atom: 22.0

Unit cell a=3.2042 b=4.6781 c=11.7540 alpha=90.00 beta=90.00 gamma=90.00
Last column: nearest neighbours and their distance in Å.
Space group Imm2 (No. 44)
Inequivalent atoms, fractional coordinates:
Ta  0.0000  0.0000  0.0000 [2 per cell]  2 Co 2.39
Co  0.0000  0.5000  0.6510 [2 per cell]  2 Ta 2.39
Pb  0.0000  0.0000  0.3888 [2 per cell]  4 Ta 3.12, 4 Pb 3.20-3.48, 2 Co 3.22
Pb  0.0000  0.5000  0.1700 [2 per cell]  4 Co 2.84, 2 Ta 3.08



b) First-principles (PBE) data for a relaxed structure of TaCoPb2, as listed in Alexandria via LeMat-Bulk.

Calculated values
Volume in Å³ per atom: 21.2

Unit cell a=6.9709 b=6.9709 c=6.9709 alpha=90.00 beta=90.00 gamma=90.00
Last column: nearest neighbours and their distance in Å.
Space group F-43m (No. 216)
Inequivalent atoms, fractional coordinates:
Ta  0.0000  0.0000  0.0000 [4 per cell]  4 Pb 3.02, 4 Co 3.02
Co  0.2500  0.2500  0.7500 [4 per cell]  4 Ta 3.02, 4 Pb 3.02
Pb  0.0000  0.0000  0.5000 [4 per cell]  4 Pb 3.02, 4 Co 3.02
Pb  0.2500  0.2500  0.2500 [4 per cell]  4 Ta 3.02, 4 Pb 3.02



c) First-principles (PBE) data for a relaxed structure of TaCoPb2, as listed in Alexandria via LeMat-Bulk.

Calculated values
Volume in Å³ per atom: 21.4

Unit cell a=3.9621 b=4.1079 c=5.6192 alpha=90.00 beta=110.56 gamma=90.00
Last column: nearest neighbours and their distance in Å.
Space group Pm (No. 6)
Inequivalent atoms, fractional coordinates:
Ta  0.0000  0.0000  0.0000 [1 per cell]  2 Co 2.47
Co  0.1293  0.5000  0.2596 [1 per cell]  2 Ta 2.47
Pb  0.4172  0.5000  0.8338 [1 per cell]  4 Ta 2.98, 3 Co 2.99-3.02
Pb  0.7157  0.0000  0.4318 [1 per cell]  3 Ta 2.99-3.02, 4 Co 2.99-3.00



Verdict on stability: c) comes out on top.



a) First-principles (PBE) data for a relaxed structure of TaCoPb2, as listed in Alexandria via LeMat-Bulk.

Calculated values
Volume in Å³ per atom: 20.3

Unit cell a=3.1920 b=4.2186 c=6.1000 alpha=90.00 beta=98.45 gamma=90.00
Last column: nearest neighbours and their distance in Å.
Space group P2/m (No. 10)
Inequivalent atoms, fractional coordinates:
Ta  0.0000  0.0000  0.0000 [1 per cell]  8 Pb 2.94-3.24, 2 Ta 3.19, 2 Co 3.23
Co  0.5000  0.0000  0.5000 [1 per cell]  4 Pb 2.65
Pb  0.3354  0.5000  0.7374 [2 per cell]  2 Co 2.65, 2 Ta 2.94



b) First-principles (PBE) data for a relaxed structure of TaCoPb2, as listed in Alexandria via LeMat-Bulk.

Calculated values
Volume in Å³ per atom: 20.1

Unit cell a=3.1944 b=5.3972 c=9.3259 alpha=90.00 beta=90.00 gamma=90.00
Last column: nearest neighbours and their distance in Å.
Space group Immm (No. 71)
Inequivalent atoms, fractional coordinates:
Ta  0.0000  0.0000  0.0000 [2 per cell]  8 Pb 3.06-3.39, 4 Co 3.14, 2 Ta 3.19
Co  0.0000  0.0000  0.5000 [2 per cell]  4 Pb 2.61
Pb  0.0000  0.5000  0.2207 [4 per cell]  2 Co 2.61



c) First-principles (PBE) data for a relaxed structure of TaCoPb2, as listed in Alexandria via LeMat-Bulk.

Calculated values
Volume in Å³ per atom: 20.0

Unit cell a=3.8389 b=5.0736 c=8.2303 alpha=90.00 beta=90.00 gamma=90.00
Last column: nearest neighbours and their distance in Å.
Space group Cmmm (No. 65)
Inequivalent atoms, fractional coordinates:
Ta  0.0000  0.0000  0.0000 [2 per cell]  4 Pb 2.98, 4 Ta 3.18
Co  0.0000  0.0000  0.5000 [2 per cell]  4 Pb 2.66
Pb  0.0000  0.5000  0.2769 [4 per cell]  2 Co 2.66



d) First-principles (PBE) data for a relaxed structure of TaCoPb2, as listed in Alexandria via LeMat-Bulk.

Calculated values
Volume in Å³ per atom: 20.1

Unit cell a=6.8474 b=6.8474 c=6.8474 alpha=90.00 beta=90.00 gamma=90.00
Last column: nearest neighbours and their distance in Å.
Space group Fm-3m (No. 225)
Inequivalent atoms, fractional coordinates:
Ta  0.0000  0.0000  0.0000 [4 per cell]  8 Pb 2.97
Co  0.0000  0.0000  0.5000 [4 per cell]  8 Pb 2.97
Pb  0.2500  0.2500  0.2500 [8 per cell]  4 Ta 2.97, 4 Co 2.97



Verdict on stability: c) comes out on top.